# Na3Y3SiS8

A geometry-optimized Na3Y3SiS8 structure (PBE, the Alexandria database).

Properties
SG = R-3m (166)
ΔE_f (raw) = -1.518 eV per atom

a b c (Å): 7.767 7.768 8.101
angles (deg): 118.68 90.00 120.00
Fractional coordinates of all 15 atoms:
Na1 0.000 0.000 0.000
S1 0.214 0.991 0.704
S2 0.777 0.991 0.704
S3 0.743 0.485 0.727
Na2 0.000 0.500 0.000
S4 0.786 0.009 0.296
Na3 0.500 0.500 0.000
S5 0.214 0.427 0.704
S6 0.257 0.515 0.273
Y1 0.500 0.500 0.500
S7 0.223 0.009 0.296
Y2 0.000 0.500 0.500
Y3 0.500 0.000 0.500
Si1 0.000 0.000 0.500
S8 0.786 0.573 0.296


# Li6CuHg

A geometry-optimized Li6CuHg structure (PBE, the Alexandria database).

Properties
DFT formation energy = -119 meV/atom
SG = Amm2 (38)
DOS(E_F) = 3.86 states/eV/f.u.

a b c (Å): 4.717 5.703 5.703
angles (deg): 119.45 90.00 90.00
Fractional coordinates of all 8 atoms:
Hg1 0.500 0.416 0.584
Li1 0.500 0.400 0.077
Li2 0.500 0.923 0.600
Li3 0.500 0.922 0.078
Li4 0.000 0.581 0.419
Li5 0.000 0.581 0.907
Cu1 0.000 0.084 0.916
Li6 0.000 0.093 0.419


# CuRh

A geometry-optimized CuRh structure (PBE, the Alexandria database).

Properties
DFT formation energy = 212 meV/atom
SG = Cmcm (63)
DOS(E_F) = 2.99 states/eV/f.u.

a b c (Å): 2.622 5.153 4.207
angles (deg): 90.00 90.00 75.26
Each line ends with the local moment (μB).
Fractional coordinates of all 4 atoms:
Rh1 0.571 0.858 0.250  0.51
Rh2 0.429 0.142 0.750  0.51
Cu1 0.824 0.351 0.250  0.06
Cu2 0.176 0.649 0.750  0.06


# Cr4PdPt

A geometry-optimized Cr4PdPt structure (PBE, the Alexandria database).

Properties
DFT formation energy = 1 meV/atom
SG = F-43m (216)
DOS(E_F) = 5.58 states/eV/f.u.

a b c (Å): 4.776 4.776 4.776
angles (deg): 60.00 60.00 60.00
Fractional coordinates of all 6 atoms:
Cr1 0.131 0.623 0.623
Cr2 0.623 0.623 0.623
Cr3 0.623 0.623 0.131
Pt1 0.000 0.000 0.000
Pd1 0.250 0.250 0.250
Cr4 0.623 0.131 0.623


# Ag2TePb

A geometry-optimized Ag2TePb structure (PBE, the Alexandria database).

Properties
SG = P4/mmm (123)
excess energy over the best structure of this formula in the dataset = 3.2 kJ/mol of atoms
ΔE_f (raw) = 0.075 eV per atom
DOS(E_F) = 1.14 states/eV/f.u.

a b c (Å): 3.909 3.909 6.413
angles (deg): 90.00 90.00 90.03
Fractional coordinates of all 4 atoms:
Ag1 0.000 0.000 0.513
Ag2 0.000 0.000 0.987
Pb1 0.500 0.500 0.250
Te1 0.500 0.500 0.750


# NdScGaPt

A geometry-optimized NdScGaPt structure (PBE, the Alexandria database).

Properties
DFT formation energy = -759 meV/atom
SG = F-43m (216)
DOS(E_F) = 2.42 states/eV/f.u.

a b c (Å): 4.966 4.966 4.966
angles (deg): 60.00 60.00 60.00
Fractional coordinates of all 4 atoms:
Ga1 0.750 0.750 0.750
Sc1 0.000 0.000 0.000
Nd1 0.500 0.500 0.500
Pt1 0.250 0.250 0.250


# Pm4HPb2

A geometry-optimized Pm4HPb2 structure (PBE, the Alexandria database).

Properties
SG = P2_1/m (11)
excess energy over the best structure of this formula in the dataset = 0.2 kJ/mol of atoms
DOS(E_F) = 5.84 states/eV/f.u.

a b c (Å): 6.505 6.668 9.544
angles (deg): 90.00 109.46 90.00
Fractional coordinates of all 14 atoms:
H1 0.283 0.750 0.201
Pm1 0.936 0.250 0.652
Pm2 0.128 0.750 0.943
Pm3 0.534 0.500 0.294
Pm4 0.466 0.000 0.706
Pm5 0.534 0.000 0.294
Pb1 0.314 0.250 0.969
H2 0.717 0.250 0.799
Pb2 0.686 0.750 0.031
Pm6 0.064 0.750 0.348
Pm7 0.466 0.500 0.706
Pm8 0.872 0.250 0.057
Pb3 0.844 0.750 0.601
Pb4 0.156 0.250 0.399


# KV

A geometry-optimized KV structure (PBE, the Alexandria database).

Properties
DFT formation energy = 1469 meV/atom
SG = P4_2/mnm (136)
excess energy over the best structure of this formula in the dataset = 70.2 kJ/mol of atoms
DOS(E_F) = 2.13 states/eV/f.u.

a b c (Å): 6.982 6.982 6.972
angles (deg): 90.00 90.00 90.00
Each line ends with the local moment (μB).
Fractional coordinates of all 8 atoms:
V1 0.592 0.408 0.500  0.52
V2 0.408 0.592 0.500  0.52
V3 0.908 0.908 0.000  0.52
K1 0.167 0.167 0.500  0.01
K2 0.833 0.833 0.500  0.01
K3 0.333 0.667 0.000  0.01
V4 0.092 0.092 0.000  0.52
K4 0.667 0.333 0.000  0.01


# SrTa2Hg2

A geometry-optimized SrTa2Hg2 structure (PBE, the Alexandria database).

Properties
DFT formation energy = 688 meV/atom
SG = I4/mmm (139)
excess energy over the best structure of this formula in the dataset = 25.1 kJ/mol of atoms
DOS(E_F) = 4.74 states/eV/f.u.

a b c (Å): 4.781 4.781 6.619
angles (deg): 68.83 68.83 90.00
Fractional coordinates of all 5 atoms:
Sr1 0.000 0.000 0.000
Ta1 0.390 0.390 0.221
Hg1 0.250 0.750 0.500
Ta2 0.610 0.610 0.779
Hg2 0.750 0.250 0.500


# Os3Pb

A geometry-optimized Os3Pb structure (PBE, the Alexandria database).

Properties
DFT formation energy = 1022 meV/atom
SG = Cmcm (63)
DOS(E_F) = 4.86 states/eV/f.u.

a b c (Å): 5.701 5.701 4.514
angles (deg): 90.00 90.00 110.70
Fractional coordinates of all 8 atoms:
Os1 0.797 0.203 0.250
Os2 0.734 0.874 0.750
Pb1 0.640 0.360 0.750
Os3 0.126 0.266 0.750
Os4 0.874 0.734 0.250
Os5 0.266 0.126 0.250
Pb2 0.360 0.640 0.250
Os6 0.203 0.797 0.750


# Zr4NiHg

A geometry-optimized Zr4NiHg structure (PBE, the Alexandria database).

Properties
DFT formation energy = -154 meV/atom
SG = P4/mcc (124)
excess energy over the best structure of this formula in the dataset = 0.0 kJ/mol of atoms
DOS(E_F) = 8.99 states/eV/f.u.

a b c (Å): 5.465 6.767 6.767
angles (deg): 90.00 90.00 90.00
Fractional coordinates of all 12 atoms:
Zr1 0.000 0.640 0.826
Hg1 0.250 0.000 0.000
Zr2 0.000 0.174 0.640
Zr3 0.500 0.826 0.640
Zr4 0.000 0.826 0.360
Hg2 0.750 0.000 0.000
Zr5 0.500 0.360 0.826
Ni1 0.750 0.500 0.500
Zr6 0.500 0.174 0.360
Zr7 0.000 0.360 0.174
Zr8 0.500 0.640 0.174
Ni2 0.250 0.500 0.500


# Er2MgZrN4

A geometry-optimized Er2MgZrN4 structure (PBE, the Alexandria database).

Properties
SG = P2/m (10)
ΔE_f (raw) = -1.509 eV per atom
DOS(E_F) = 0.63 states/eV/f.u.

a b c (Å): 3.338 5.740 5.737
angles (deg): 109.31 90.00 90.00
Fractional coordinates of all 8 atoms:
Er1 0.000 0.500 0.500
Er2 0.500 0.000 0.500
Zr1 0.500 0.500 0.000
Mg1 0.000 0.000 0.000
N1 0.000 0.740 0.239
N2 0.500 0.257 0.242
N3 0.500 0.743 0.758
N4 0.000 0.260 0.761


# La8Pr6Sm

A geometry-optimized La8Pr6Sm structure (PBE, the Alexandria database).

Properties
DFT formation energy = 122 meV/atom
SG = R-3 (148)
excess energy over the best structure of this formula in the dataset = 1.4 kJ/mol of atoms
DOS(E_F) = 25.61 states/eV/f.u.

a b c (Å): 10.121 10.121 8.504
angles (deg): 53.48 53.48 60.00
Fractional coordinates of all 15 atoms:
Sm1 0.000 0.000 0.000
Pr1 0.717 0.392 0.974
La1 0.930 0.353 0.491
La2 0.353 0.226 0.491
Pr2 0.392 0.916 0.974
La3 0.415 0.415 0.755
Pr3 0.084 0.283 0.026
La4 0.070 0.647 0.509
La5 0.774 0.070 0.509
La6 0.647 0.774 0.509
Pr4 0.608 0.084 0.026
La7 0.585 0.585 0.245
Pr5 0.916 0.717 0.974
La8 0.226 0.930 0.491
Pr6 0.283 0.608 0.026


# ZnRePd3

A geometry-optimized ZnRePd3 structure (PBE, the Alexandria database).

Properties
DFT formation energy = 1128 meV/atom
SG = Pm-3m (221)
excess energy over the best structure of this formula in the dataset = 0.0 kJ/mol of atoms
DOS(E_F) = 2.99 states/eV/f.u.

a b c (Å): 4.557 4.557 4.557
angles (deg): 90.00 90.00 90.00
Each line ends with the local moment (μB).
Fractional coordinates of all 5 atoms:
Pd1 0.000 0.500 0.000  0.21
Pd2 0.500 0.000 0.000  0.36
Zn1 0.000 0.000 0.000  -0.01
Pd3 0.000 0.000 0.500  0.14
Re1 0.500 0.500 0.500  3.41


# Zn2TeOs

A geometry-optimized Zn2TeOs structure (PBE, the Alexandria database).

Properties
SG = Pmm2 (25)
ΔE_f (raw) = 0.444 eV per atom
DOS(E_F) = 2.32 states/eV/f.u.

a b c (Å): 3.223 3.915 5.512
angles (deg): 90.00 90.00 90.00
Fractional coordinates of all 4 atoms:
Os1 0.000 0.000 0.507
Zn1 0.000 0.000 0.035
Te1 0.500 0.500 0.719
Zn2 0.500 0.500 0.238


# Th2Ag5Hg

A geometry-optimized Th2Ag5Hg structure (PBE, the Alexandria database).

Properties
DFT formation energy = -36 meV/atom
SG = Cmcm (63)
DOS(E_F) = 7.06 states/eV/f.u.

a b c (Å): 4.242 9.039 10.027
angles (deg): 90.00 90.00 103.57
Fractional coordinates of all 16 atoms:
Th1 0.000 0.000 0.000
Th2 0.000 0.000 0.500
Hg1 0.462 0.925 0.750
Ag1 0.795 0.590 0.104
Ag2 0.205 0.410 0.604
Ag3 0.364 0.728 0.973
Ag4 0.620 0.240 0.750
Th3 0.813 0.626 0.750
Ag5 0.364 0.728 0.527
Ag6 0.636 0.272 0.027
Ag7 0.795 0.590 0.396
Hg2 0.538 0.075 0.250
Th4 0.187 0.374 0.250
Ag8 0.380 0.760 0.250
Ag9 0.205 0.410 0.896
Ag10 0.636 0.272 0.473


# BaTaGe3

A geometry-optimized BaTaGe3 structure (PBE, the Alexandria database).

Properties
DFT formation energy = 2164 meV/atom
SG = Pm-3m (221)
excess energy over the best structure of this formula in the dataset = 231.3 kJ/mol of atoms
DOS(E_F) = 6.39 states/eV/f.u.

a b c (Å): 5.420 5.420 5.420
angles (deg): 90.00 90.00 90.00
Fractional coordinates of all 5 atoms:
Ge1 0.000 0.000 0.500
Ge2 0.500 0.000 0.000
Ba1 0.000 0.000 0.000
Ge3 0.000 0.500 0.000
Ta1 0.500 0.500 0.500


# CaAgTe2

A geometry-optimized CaAgTe2 structure (PBE, the Alexandria database).

Properties
SG = P2/m (10)
ΔE_f (raw) = -0.657 eV per atom
DOS(E_F) = 1.21 states/eV/f.u.

a b c (Å): 4.015 4.288 7.391
angles (deg): 77.13 90.00 90.00
Fractional coordinates of all 4 atoms:
Ca1 0.500 0.750 0.750
Te1 0.000 0.212 0.986
Ag1 0.500 0.250 0.250
Te2 0.000 0.288 0.514


# Al3Cu2

A geometry-optimized Al3Cu2 structure (PBE, the Alexandria database).

Properties
DFT formation energy = -106 meV/atom
SG = R-3m (166)
excess energy over the best structure of this formula in the dataset = 5.1 kJ/mol of atoms
DOS(E_F) = 2.96 states/eV/f.u.

a b c (Å): 10.387 10.387 10.387
angles (deg): 15.75 15.75 15.75
Fractional coordinates of all 5 atoms:
Al1 0.796 0.796 0.796
Al2 0.000 0.000 0.000
Cu1 0.398 0.398 0.398
Cu2 0.602 0.602 0.602
Al3 0.204 0.204 0.204


# TbYGeAu

A geometry-optimized TbYGeAu structure (PBE, the Alexandria database).

Properties
DFT formation energy = -872 meV/atom
SG = Amm2 (38)
excess energy over the best structure of this formula in the dataset = 0.0 kJ/mol of atoms
DOS(E_F) = 2.28 states/eV/f.u.

a b c (Å): 4.073 4.327 5.840
angles (deg): 90.00 110.41 90.00
Fractional coordinates of all 4 atoms:
Ge1 0.585 0.500 0.170
Tb1 0.139 0.000 0.277
Au1 0.416 0.000 0.831
Y1 0.861 0.500 0.721


Number 1: DFT total energy -84.6 eV/cell. Number 2: DFT total energy -16.8 eV/cell. Number 3: DFT total energy -22.0 eV/cell. Number 4: DFT total energy -49.7 eV/cell. Number 5: DFT total energy -12.3 eV/cell. Number 6: DFT total energy -23.2 eV/cell. Number 7: DFT total energy -66.5 eV/cell. Number 8: DFT total energy -29.1 eV/cell. Number 9: DFT total energy -22.5 eV/cell. Number 10: DFT total energy -66.6 eV/cell. Number 11: DFT total energy -82.4 eV/cell. Number 12: DFT total energy -64.6 eV/cell. Number 13: DFT total energy -71.0 eV/cell. Number 14: DFT total energy -23.7 eV/cell. Number 15: DFT total energy -15.1 eV/cell. Number 16: DFT total energy -59.4 eV/cell. Number 17: DFT total energy -16.8 eV/cell. Number 18: DFT total energy -13.8 eV/cell. Number 19: DFT total energy -19.9 eV/cell. Number 20: DFT total energy -22.5 eV/cell.